1.
Ba2YF7 | PBE | relaxed

abc: 7.6927 7.6927 8.2422
angles: 58.81 58.81 52.49
Closest atoms and distances in Å follow each position.
Fractional positions:
F1 0.8838 0.3669 0.5460  1 Y 2.34
F2 0.1162 0.6331 0.4540  1 Y 2.34
F3 0.2216 0.9434 0.4265  2 Y 2.37-2.53, 2 F 2.60-2.65
F4 0.3669 0.8838 0.0460  1 Y 2.34
F5 0.0566 0.7784 0.0735  2 Y 2.37-2.53, 2 F 2.60-2.65
F6 0.6331 0.1162 0.9540  1 Y 2.34
F7 0.0716 0.3024 0.1392  1 Y 2.29
F8 0.9434 0.2216 0.9265  2 Y 2.37-2.53, 2 F 2.60-2.65
F9 0.6976 0.9284 0.3608  1 Y 2.29
F10 0.9284 0.6976 0.8608  1 Y 2.29
F11 0.3616 0.6384 0.7500  1 Y 2.37, 2 Ba 2.61
F12 0.6384 0.3616 0.2500  1 Y 2.37, 2 Ba 2.61
F13 0.3024 0.0716 0.6392  1 Y 2.29
F14 0.7784 0.0566 0.5735  2 Y 2.37-2.53, 2 F 2.60-2.65
Ba1 0.3264 0.3143 0.7624  9 F 2.61-2.91
Ba2 0.3143 0.3264 0.2624  9 F 2.61-2.91
Ba3 0.6736 0.6857 0.2376  9 F 2.61-2.91
Ba4 0.6857 0.6736 0.7376  9 F 2.61-2.91
Y1 0.9861 0.0139 0.2500  9 F 2.29-2.53
Y2 0.0139 0.9861 0.7500  9 F 2.29-2.53

## Properties
Total DFT energy (no corrections) in eV per atom: -6.2876
Formation energy from raw total energies in eV/atom: -3.947
Theoretical density in g/cm3: 5.2



2.
BaY2ZnF | PBE | relaxed

abc: 5.9987 4.4427 5.9987
angles: 90.00 90.00 90.00
Closest atoms and distances in Å follow each position.
Fractional positions:
F1 0.0000 0.5000 0.0000  2 Zn 2.22
Zn1 0.0000 0.0000 0.0000  2 F 2.22
Y1 0.0000 0.0000 0.5000  2 Zn 3.00
Y2 0.5000 0.0000 0.0000  2 Zn 3.00
Ba1 0.5000 0.5000 0.5000  8 Y 3.73

## Properties
Total DFT energy (no corrections) in eV per atom: -3.6686
Formation energy from raw total energies in eV/atom: -0.069
Theoretical density in g/cm3: 4.2



3.
BaYZr2F | PBE | relaxed

abc: 4.8320 5.3353 4.8320
angles: 90.00 90.00 90.00
Closest atoms and distances in Å follow each position.
Fractional positions:
Ba1 0.5000 0.5000 0.5000  4 Y 3.42, 8 Zr 3.60
Y1 0.0000 0.5000 0.0000  2 F 2.67
Zr1 0.5000 0.0000 0.0000  2 F 2.42
Zr2 0.0000 0.0000 0.5000  2 F 2.42
F1 0.0000 0.0000 0.0000  4 Zr 2.42, 2 Y 2.67

## Properties
Total DFT energy (no corrections) in eV per atom: -5.7912
Formation energy from raw total energies in eV/atom: -0.320
Theoretical density in g/cm3: 5.7



4.
Ba2ZnF | PBE | relaxed

abc: 7.7338 7.7338 7.3127
angles: 58.08 58.08 90.00
Closest atoms and distances in Å follow each position.
Fractional positions:
Ba1 0.8750 0.8077 0.7500  2 F 2.68
Ba2 0.1923 0.6250 0.2500  2 F 2.68
Ba3 0.3750 0.4423 0.7500  2 F 2.68
Ba4 0.5577 0.1250 0.2500  2 F 2.68
F1 0.2500 0.7500 0.5000  4 Ba 2.68
F2 0.5000 0.5000 0.0000  4 Ba 2.68
Zn1 0.0000 0.0000 0.0000  4 Ba 3.35
Zn2 0.7500 0.2500 0.5000  4 Ba 3.35

## Properties
Total DFT energy (no corrections) in eV per atom: -3.0887
Formation energy from raw total energies in eV/atom: -1.341
Theoretical density in g/cm3: 4.1



5.
Ba4Zn6F19 | PBE | relaxed

abc: 8.3347 8.3347 8.3347
angles: 109.47 109.47 109.47
Closest atoms and distances in Å follow each position.
Fractional positions:
F1 0.3478 0.0000 0.3478  2 Zn 2.13
F2 0.2455 0.6163 0.2850  2 Zn 2.08-2.10
F3 0.7150 0.3313 0.9604  2 Zn 2.08-2.10
F4 0.3478 0.3478 0.0000  2 Zn 2.13
F5 0.6292 0.6687 0.3837  2 Zn 2.08-2.10
F6 0.6522 0.6522 0.0000  2 Zn 2.13
F7 0.6163 0.2850 0.2455  2 Zn 2.08-2.10
F8 0.3837 0.6292 0.6687  2 Zn 2.08-2.10
F9 0.6522 0.0000 0.6522  2 Zn 2.13
F10 0.0000 0.0000 0.0000  4 Ba 2.77
F11 0.2850 0.2455 0.6163  2 Zn 2.08-2.10
F12 0.0000 0.6522 0.6522  2 Zn 2.13
F13 0.0000 0.3478 0.3478  2 Zn 2.13
F14 0.0396 0.3708 0.7545  2 Zn 2.08-2.10
F15 0.3708 0.7545 0.0396  2 Zn 2.08-2.10
F16 0.9604 0.7150 0.3313  2 Zn 2.08-2.10
F17 0.7545 0.0396 0.3708  2 Zn 2.08-2.10
F18 0.6687 0.3837 0.6292  2 Zn 2.08-2.10
F19 0.3313 0.9604 0.7150  2 Zn 2.08-2.10
Zn1 0.3395 0.5000 0.8395  6 F 2.08-2.13
Zn2 0.5000 0.8395 0.3395  6 F 2.08-2.13
Zn3 0.5000 0.1605 0.6605  6 F 2.08-2.13
Zn4 0.6605 0.5000 0.1605  6 F 2.08-2.13
Zn5 0.8395 0.3395 0.5000  6 F 2.08-2.13
Zn6 0.1605 0.6605 0.5000  6 F 2.08-2.13
Ba1 0.0000 0.6682 0.0000  10 F 2.77-2.86
Ba2 0.0000 0.0000 0.6682  10 F 2.77-2.86
Ba3 0.6682 0.0000 0.0000  10 F 2.77-2.86
Ba4 0.3318 0.3318 0.3318  10 F 2.77-2.86

## Properties
Total DFT energy (no corrections) in eV per atom: -4.6390
Formation energy from raw total energies in eV/atom: -2.884
Theoretical density in g/cm3: 4.9



6.
Ba2Zn2F7 | PBE | relaxed

abc: 6.9693 4.7282 7.5068
angles: 74.22 67.76 102.04
Closest atoms and distances in Å follow each position.
Fractional positions:
Zn1 0.8564 0.2375 0.1625  4 F 2.01-2.17
Zn2 0.1436 0.7625 0.8375  4 F 2.01-2.17
F1 0.5696 0.2379 0.1115  1 Zn 2.17
F2 0.0000 0.0000 0.0000  2 Zn 2.01
F3 0.0624 0.6633 0.6230  1 Zn 2.03
F4 0.3534 0.1764 0.6025  1 Zn 2.01
F5 0.4304 0.7621 0.8885  1 Zn 2.17
F6 0.6466 0.8236 0.3975  1 Zn 2.01
F7 0.9376 0.3367 0.3770  1 Zn 2.03
Ba1 0.6503 0.4133 0.7032  7 F 2.58-2.80
Ba2 0.3497 0.5867 0.2968  7 F 2.58-2.80

## Properties
Total DFT energy (no corrections) in eV per atom: -4.6822
Formation energy from raw total energies in eV/atom: -2.910
Theoretical density in g/cm3: 4.3



7.
Ba3ZnF | PBE | relaxed

abc: 5.5935 5.5935 5.5935
angles: 90.00 90.00 90.00
Closest atoms and distances in Å follow each position.
Fractional positions:
Ba1 0.0000 0.0000 0.5000  2 F 2.80
Ba2 0.5000 0.0000 0.0000  2 F 2.80
Ba3 0.0000 0.5000 0.0000  2 F 2.80
F1 0.0000 0.0000 0.0000  6 Ba 2.80
Zn1 0.5000 0.5000 0.5000  12 Ba 3.96

## Properties
Total DFT energy (no corrections) in eV per atom: -2.7891
Formation energy from raw total energies in eV/atom: -1.006
Theoretical density in g/cm3: 4.7



8.
BaZnF4 | PBE | relaxed

abc: 4.0541 4.0541 11.4852
angles: 90.00 90.00 90.00
Closest atoms and distances in Å follow each position.
Fractional positions:
F1 0.5000 0.5000 0.8687  2 Zn 2.03
F2 0.5000 0.5000 0.5000  4 Ba 2.62, 4 F 2.87
F3 0.5000 0.5000 0.1313  2 Zn 2.03
F4 0.0000 0.5000 0.3075  1 Zn 2.01
F5 0.0000 0.0000 0.5000  4 Ba 2.62, 4 F 2.87
F6 0.0000 0.0000 0.1313  2 Zn 2.03
F7 0.5000 0.0000 0.6925  1 Zn 2.01
F8 0.0000 0.0000 0.8687  2 Zn 2.03
Ba1 0.0000 0.5000 0.6452  8 F 2.62-2.92
Ba2 0.5000 0.0000 0.3548  8 F 2.62-2.92
Zn1 0.0000 0.5000 0.1325  5 F 2.01-2.03
Zn2 0.5000 0.0000 0.8675  5 F 2.01-2.03

## Properties
Total DFT energy (no corrections) in eV per atom: -4.7889
Formation energy from raw total energies in eV/atom: -3.009
Theoretical density in g/cm3: 4.9